<i>
A geometry-optimized Sm6Y12In structure. Source: Alexandria via LeMat-Bulk, functional PBE-GGA.

```
19
Lattice="5.9748 3.4495 5.0210 -5.9748 3.4495 5.0210 0.0000 -6.8991 5.0210" Properties=species:S:1:pos:R:3 pbc="T T T"
Sm -2.3421 -2.4982 7.8040
Sm -3.3345 0.7792 7.2591
Sm 0.9924 -3.2774 7.2591
Sm -0.9924 3.2774 7.8040
Sm 3.3345 -0.7792 7.8040
Sm 2.3421 2.4982 7.2591
Y -1.4397 -5.3551 6.2980
Y -5.3575 -1.4308 8.7651
Y -1.0565 -1.7821 4.7298
Y -3.9178 3.9243 6.2980
Y -1.0151 1.8060 4.7298
Y 2.0716 -0.0239 4.7298
Y -2.0716 0.0239 10.3332
Y 1.0151 -1.8060 10.3332
Y 3.9178 -3.9244 8.7651
Y 1.0565 1.7821 10.3332
Y 5.3575 1.4308 6.2980
Y 1.4397 5.3551 8.7651
In 0.0000 0.0000 7.5315
```

## Properties
The space group is R-3 (148). The spin magnetization is 0.00 μB/cell.

***

<ii>
A geometry-optimized Sm6Y12In structure. Source: Alexandria via LeMat-Bulk, functional PBE-GGA.

```
19
Lattice="6.5034 3.7547 4.3322 -6.5034 3.7547 4.3322 0.0000 -7.5095 4.3322" Properties=species:S:1:pos:R:3 pbc="T T T"
Sm -1.7710 -1.0225 3.5735
Sm 1.7710 -1.0225 3.5735
Sm 0.0000 2.0450 3.5735
Sm 0.0000 -2.0450 9.4231
Sm -1.7710 1.0225 9.4231
Sm 1.7710 1.0225 9.4231
Y 0.0000 -4.3968 3.6322
Y -3.8077 2.1984 3.6322
Y -1.6869 -2.9218 6.4983
Y -3.3737 0.0000 6.4983
Y -3.8077 -2.1984 9.3644
Y 1.6869 -2.9217 6.4983
Y -1.6869 2.9217 6.4983
Y 3.8077 2.1984 3.6322
Y 3.3737 0.0000 6.4983
Y 1.6869 2.9217 6.4983
Y 3.8077 -2.1984 9.3644
Y 0.0000 4.3968 9.3644
In 0.0000 0.0000 6.4983
```

## Properties
The space group is R-3m (166). The spin magnetization is 0.00 μB/cell.

***

Least stable structure: <ii>

***

<i>
A geometry-optimized Sm2Y2In3 structure. Source: Alexandria via LeMat-Bulk, functional PBE-GGA.

```
7
Lattice="6.3333 -1.9871 0.0000 6.3333 1.9871 0.0000 -3.6369 0.0000 8.2749" Properties=species:S:1:pos:R:3 pbc="T T T"
Sm 0.5088 0.0000 2.6436
Sm 8.5209 0.0000 5.6313
Y 4.6667 0.0000 0.3913
Y 4.3630 0.0000 7.8835
In -0.4156 0.0000 5.8998
In 4.5149 0.0000 4.1374
In 9.4454 0.0000 2.3751
```

## Properties
The space group is C2/m (12). The spin magnetization is 0.01 μB/cell.

***

<ii>
A geometry-optimized Sm2Y2In3 structure. Source: Alexandria via LeMat-Bulk, functional PBE-GGA.

```
7
Lattice="1.7653 -16.1989 0.0000 1.7653 16.1989 0.0000 0.0000 0.0000 3.5312" Properties=species:S:1:pos:R:3 pbc="T T T"
Sm 1.7653 13.9874 0.0000
Sm 1.7653 -13.9874 0.0000
Y 1.7653 9.6733 0.0000
Y 1.7653 -9.6733 0.0000
In 1.7653 4.4456 1.7656
In 1.7653 0.0000 1.7656
In 1.7653 -4.4456 1.7656
```

## Properties
The space group is Cmmm (65). The spin magnetization is 0.69 μB/cell.

***

Least stable structure: <i>

***

<i>
A geometry-optimized Sm4Y3In structure. Source: Alexandria via LeMat-Bulk, functional PBE-GGA.

```
8
Lattice="-1.8490 2.6212 13.5451 1.8490 -2.6212 13.5451 1.8490 2.6212 -13.5451" Properties=species:S:1:pos:R:3 pbc="T T T"
Sm 0.0000 0.0000 2.5526
Sm 0.0000 0.0000 5.8780
Sm 0.0000 0.0000 21.2122
Sm 0.0000 0.0000 24.5376
Y 0.0000 0.0000 9.5572
Y 0.0000 2.6212 0.0000
Y 0.0000 0.0000 17.5330
In 1.8490 0.0000 0.0000
```

## Properties
The space group is Immm (71). The spin magnetization is 0.01 μB/cell.

***

<ii>
A geometry-optimized Sm4Y3In structure. Source: Alexandria via LeMat-Bulk, functional PBE-GGA.

```
16
Lattice="8.4153 0.0000 0.0000 0.0000 7.1189 0.0000 -0.8290 0.0000 8.4309" Properties=species:S:1:pos:R:3 pbc="T T T"
Sm 0.0000 0.0000 0.0000
Sm 0.1301 3.5595 3.4532
Sm 1.4344 1.8479 6.3283
Sm 1.4344 5.2711 6.3283
Sm 2.6284 1.7997 1.3932
Sm 2.6284 5.3192 1.3932
Sm 3.5938 3.5595 4.3086
Sm 4.1367 0.0000 7.5387
Y 0.3987 0.0000 3.5018
Y 5.9446 1.7655 2.0452
Y 5.9446 5.3535 2.0452
Y 6.2964 1.7336 5.5321
Y 6.2964 5.3854 5.5321
Y 7.3458 3.5595 8.3697
In 3.7481 0.0000 4.1731
In 4.0886 3.5595 7.6650
```

## Properties
The space group is Pm (6). The spin magnetization is 0.00 μB/cell.

***

Least stable structure: <i>